Entry 1:
Entry from Alexandria via LeMat-Bulk: an optimized crystal structure of Y4Al3Ga (GGA-PBE).

Results
D(E_F) = 7.20 states/eV per cell
Space-group type = Pmm2, No. 25
Electronic total energy = -5.4997 eV/atom
Total magnetization = 0.00 μB per atom
Crystal system = orthorhombic

a = 4.1112 Å, b = 4.4103 Å, c = 11.0975 Å
α = 90.00°, β = 90.00°, γ = 90.00°
Positions (direct):
Y1 0.0000 0.0000 0.0000
Y2 0.0000 0.5000 0.4963
Y3 0.5000 0.0000 0.7164
Y4 0.5000 0.5000 0.2187
Al1 0.0000 0.5000 0.7834
Al2 0.5000 0.0000 0.4282
Al3 0.5000 0.5000 0.9325
Ga1 0.0000 0.0000 0.2806

Entry 2:
Entry from Alexandria via LeMat-Bulk: an optimized crystal structure of K2GaCo (GGA-PBE).

Results
D(E_F) = 4.87 states/eV per cell
Space-group type = I-42d, No. 122
Electronic total energy = -2.1453 eV/atom
Total magnetization = 0.39 μB per atom
Crystal system = tetragonal

a = 11.8910 Å, b = 11.8910 Å, c = 11.8910 Å
α = 160.00°, β = 160.00°, γ = 28.44°
Positions (direct):
K1 0.1191 0.6250 0.9941
K2 0.3750 0.3691 0.4941
K3 0.6309 0.1250 0.0059
K4 0.8750 0.8809 0.5059
Ga1 0.2500 0.7500 0.5000
Ga2 0.5000 0.5000 0.0000
Co1 0.0000 0.0000 0.0000
Co2 0.7500 0.2500 0.5000

Entry 3:
Entry from Alexandria via LeMat-Bulk: an optimized crystal structure of MnTcRu2 (GGA-PBE).

Results
D(E_F) = 5.21 states/eV per cell
Space-group type = P4/mmm, No. 123
Electronic total energy = -9.2692 eV/atom
Total magnetization = 0.96 μB per atom
Crystal system = tetragonal

a = 4.4359 Å, b = 4.4359 Å, c = 2.8877 Å
α = 90.00°, β = 90.00°, γ = 90.00°
Positions (direct):
Mn1 0.0000 0.0000 0.0000
Tc1 0.5000 0.5000 0.0000
Ru1 0.0000 0.5000 0.5000
Ru2 0.5000 0.0000 0.5000

Entry 4:
Entry from Alexandria via LeMat-Bulk: an optimized crystal structure of EuZnPt (GGA-PBE).

Results
D(E_F) = 9.96 states/eV per cell
Space-group type = P-6m2, No. 187
Electronic total energy = -6.6289 eV/atom
Total magnetization = 2.35 μB per atom
Crystal system = hexagonal

a = 4.4076 Å, b = 4.4076 Å, c = 4.0071 Å
α = 90.00°, β = 90.00°, γ = 120.00°
Positions (direct):
Eu1 0.0000 0.0000 0.0000
Zn1 0.3333 0.6667 0.5000
Pt1 0.6667 0.3333 0.5000

Entry 5:
Entry from Alexandria via LeMat-Bulk: an optimized crystal structure of PrTi2Al20 (GGA-PBE).

Results
D(E_F) = 16.14 states/eV per cell
Space-group type = Fd-3m, No. 227
Electronic total energy = -4.3822 eV/atom
Total magnetization = 0.00 μB per atom
Crystal system = cubic

a = 10.4143 Å, b = 10.4143 Å, c = 10.4143 Å
α = 60.00°, β = 60.00°, γ = 60.00°
Positions (direct):
Pr1 0.1250 0.1250 0.1250
Pr2 0.8750 0.8750 0.8750
Ti1 0.0000 0.5000 0.5000
Ti2 0.5000 0.0000 0.5000
Ti3 0.5000 0.5000 0.0000
Ti4 0.5000 0.5000 0.5000
Al1 0.0000 0.0000 0.0000
Al2 0.0000 0.0000 0.5000
Al3 0.0000 0.5000 0.0000
Al4 0.0566 0.3255 0.3255
Al5 0.0566 0.3255 0.7924
Al6 0.0566 0.7924 0.3255
Al7 0.2076 0.6745 0.6745
Al8 0.2076 0.6745 0.9434
Al9 0.2076 0.9434 0.6745
Al10 0.2364 0.2364 0.5136
Al11 0.2364 0.5136 0.2364
Al12 0.2364 0.5136 0.5136
Al13 0.3255 0.0566 0.3255
Al14 0.3255 0.0566 0.7924
Al15 0.3255 0.3255 0.0566
Al16 0.3255 0.3255 0.7924
Al17 0.3255 0.7924 0.0566
Al18 0.3255 0.7924 0.3255
Al19 0.4864 0.4864 0.7636
Al20 0.4864 0.7636 0.4864
Al21 0.4864 0.7636 0.7636
Al22 0.5000 0.0000 0.0000
Al23 0.5136 0.2364 0.2364
Al24 0.5136 0.2364 0.5136
Al25 0.5136 0.5136 0.2364
Al26 0.6745 0.2076 0.6745
Al27 0.6745 0.2076 0.9434
Al28 0.6745 0.6745 0.2076
Al29 0.6745 0.6745 0.9434
Al30 0.6745 0.9434 0.2076
Al31 0.6745 0.9434 0.6745
Al32 0.7636 0.4864 0.4864
Al33 0.7636 0.4864 0.7636
Al34 0.7636 0.7636 0.4864
Al35 0.7924 0.0566 0.3255
Al36 0.7924 0.3255 0.0566
Al37 0.7924 0.3255 0.3255
Al38 0.9434 0.2076 0.6745
Al39 0.9434 0.6745 0.2076
Al40 0.9434 0.6745 0.6745

Entry 6:
Entry from Alexandria via LeMat-Bulk: an optimized crystal structure of La2YMn (GGA-PBE).

Results
D(E_F) = 5.97 states/eV per cell
Space-group type = I4/mmm, No. 139
Electronic total energy = -6.1103 eV/atom
Total magnetization = 0.90 μB per atom
Crystal system = tetragonal

a = 6.0350 Å, b = 6.0350 Å, c = 6.0350 Å
α = 132.18°, β = 132.18°, γ = 69.95°
Positions (direct):
La1 0.2500 0.7500 0.5000
La2 0.7500 0.2500 0.5000
Y1 0.0000 0.0000 0.0000
Mn1 0.5000 0.5000 0.0000

Entry 7:
Entry from Alexandria via LeMat-Bulk: an optimized crystal structure of K2TcPb2O6 (GGA-PBE).

Results
D(E_F) = 2.72 states/eV per cell
Space-group type = C2/m, No. 12
Electronic total energy = -5.8605 eV/atom
Energy relative to the elements, uncorrected = -1340 meV/atom
Total magnetization = 0.09 μB per atom
Crystal system = monoclinic

a = 5.9716 Å, b = 5.9716 Å, c = 6.5179 Å
α = 98.78°, β = 98.78°, γ = 117.25°
Positions (direct):
K1 0.1686 0.8314 0.0000
K2 0.8314 0.1686 0.0000
Tc1 0.0000 0.0000 0.5000
Pb1 0.3359 0.6641 0.5000
Pb2 0.6641 0.3359 0.5000
O1 0.0493 0.3326 0.6757
O2 0.1982 0.1982 0.3166
O3 0.3326 0.0493 0.6757
O4 0.6674 0.9507 0.3243
O5 0.8018 0.8018 0.6834
O6 0.9507 0.6674 0.3243

Entry 8:
Entry from Alexandria via LeMat-Bulk: an optimized crystal structure of KAuSe2 (GGA-PBE).

Results
D(E_F) = 0.43 states/eV per cell
Space-group type = C2/m, No. 12
Electronic total energy = -3.4089 eV/atom
Energy relative to the elements, uncorrected = -573 meV/atom
Total magnetization = 0.00 μB per atom
Crystal system = monoclinic

a = 5.8421 Å, b = 5.8421 Å, c = 7.6225 Å
α = 125.55°, β = 125.55°, γ = 38.66°
Positions (direct):
K1 0.0000 0.0000 0.0000
Au1 0.0000 0.0000 0.5000
Se1 0.3752 0.3752 0.2276
Se2 0.6248 0.6248 0.7724

Entry 9:
Entry from Alexandria via LeMat-Bulk: an optimized crystal structure of LiTl2W (GGA-PBE).

Results
D(E_F) = 2.02 states/eV per cell
Space-group type = Pmmm, No. 47
Electronic total energy = -4.1200 eV/atom
Total magnetization = 0.24 μB per atom
Crystal system = orthorhombic

a = 3.0124 Å, b = 4.9339 Å, c = 5.7172 Å
α = 90.00°, β = 90.00°, γ = 90.00°
Positions (direct):
Li1 0.0000 0.0000 0.0000
Tl1 0.0000 0.5000 0.5000
Tl2 0.5000 0.5000 0.0000
W1 0.5000 0.0000 0.5000

Entry 10:
Entry from Alexandria via LeMat-Bulk: an optimized crystal structure of MgNiW (GGA-PBE).

Results
D(E_F) = 6.11 states/eV per cell
Space-group type = Pnma, No. 62
Electronic total energy = -6.6078 eV/atom
Total magnetization = 0.00 μB per atom
Crystal system = orthorhombic

a = 7.4903 Å, b = 3.1980 Å, c = 7.9214 Å
α = 90.00°, β = 90.00°, γ = 90.00°
Positions (direct):
Mg1 0.0467 0.2500 0.1611
Mg2 0.4533 0.7500 0.6611
Mg3 0.5467 0.2500 0.3389
Mg4 0.9533 0.7500 0.8389
Ni1 0.2427 0.2500 0.8500
Ni2 0.2573 0.7500 0.3500
Ni3 0.7427 0.2500 0.6500
Ni4 0.7573 0.7500 0.1500
W1 0.1182 0.2500 0.5526
W2 0.3818 0.7500 0.0526
W3 0.6182 0.2500 0.9474
W4 0.8818 0.7500 0.4474

Entry 11:
Entry from Alexandria via LeMat-Bulk: an optimized crystal structure of LiBeBr3 (GGA-PBE).

Results
D(E_F) = 2.67 states/eV per cell
Space-group type = Pm-3m, No. 221
Electronic total energy = -2.0407 eV/atom
Energy relative to the elements, uncorrected = 91 meV/atom
Total magnetization = 0.00 μB per atom
Crystal system = cubic

a = 4.9670 Å, b = 4.9670 Å, c = 4.9670 Å
α = 90.00°, β = 90.00°, γ = 90.00°
Positions (direct):
Li1 0.0000 0.0000 0.0000
Be1 0.5000 0.5000 0.5000
Br1 0.0000 0.0000 0.5000
Br2 0.0000 0.5000 0.0000
Br3 0.5000 0.0000 0.0000

Entry 12:
Entry from Alexandria via LeMat-Bulk: an optimized crystal structure of Cu6PtAu2 (GGA-PBE).

Results
D(E_F) = 3.40 states/eV per cell
Space-group type = Amm2, No. 38
Electronic total energy = -4.1547 eV/atom
Total magnetization = 0.00 μB per atom
Crystal system = orthorhombic

a = 2.7368 Å, b = 7.1609 Å, c = 7.1609 Å
α = 64.26°, β = 90.00°, γ = 90.00°
Positions (direct):
Cu1 0.0000 0.1584 0.8416
Cu2 0.0000 0.8416 0.1584
Cu3 0.5000 0.1666 0.5291
Cu4 0.5000 0.4532 0.8556
Cu5 0.5000 0.5291 0.1666
Cu6 0.5000 0.8556 0.4532
Pt1 0.0000 0.1937 0.1937
Au1 0.0000 0.5073 0.5073
Au2 0.0000 0.8049 0.8049